# PBE BaBe3N, relaxed
data_BaBe3N
_chemical_formula_sum 'Ba1 Be3 N1'
_space_group_name_H-M_alt 'P m -3 m'
_space_group_IT_number 221
_space_group_name_Hall '-P 4 2 3'
_cell_length_a 4.1812
_cell_length_b 4.1812
_cell_length_c 4.1812
_cell_angle_alpha 90.00
_cell_angle_beta 90.00
_cell_angle_gamma 90.00
loop_
_atom_site_label
_atom_site_fract_x
_atom_site_fract_y
_atom_site_fract_z
_atom_site_occupancy
Ba1 0.0000 0.0000 0.0000 1
Be1 0.0000 0.5000 0.5000 1
N1 0.5000 0.5000 0.5000 1
# Spin magnetization, Bohr magnetons per cell: 0.0
# Polymorph energy (0 for the lowest one), kJ/mol of formula units: 0
# Calculated volume, A^3/atom: 14.6
# DFT total energy, eV/atom: -3.2282
# Energy relative to the elements, uncorrected, eV/f.u.: 5.3